Density functional theory data (PBE) for an optimized crystal structure of LaNb2H2.

```
5
Lattice="-1.795 1.795 5.787 1.795 -1.795 5.787 1.795 1.795 -5.787" Properties=species:S:1:pos:R:3 pbc="T T T"
La 0.000 0.000 0.000
Nb 0.000 0.000 3.699
Nb 0.000 0.000 7.875
H 1.795 0.000 2.893
H 0.000 1.795 2.893
```

Properties
Theoretical density   7.3 Mg/m³
Excess energy over the best structure of this formula in the dataset   0.00 kcal/mol of atoms